(1)
DFT (PBE) results for an optimized crystal structure of Y2IrBr2.

Cell and atoms, written as POSCAR:
```
Y2IrBr2
1.0
1.999 1.154 10.731
-1.999 1.154 10.731
0.000 -2.308 10.731
Y Ir Br
2 1 2
Cartesian
0.000 0.000 3.768
0.000 0.000 28.425
0.000 0.000 16.096
0.000 0.000 12.571
0.000 0.000 19.622
```

Properties
formation energy (no corrections) = -1.256 eV/atom



(2)
DFT (PBE) results for an optimized crystal structure of Sr4I3O2.

Cell and atoms, written as POSCAR:
```
Sr4I3O2
1.0
7.826 -1.938 0.000
7.826 1.938 0.000
-2.574 0.000 9.135
Sr I O
4 3 2
Cartesian
0.905 0.000 1.953
3.890 0.000 3.704
9.188 0.000 5.431
12.174 0.000 7.182
-1.287 0.000 4.568
6.006 0.000 0.841
7.072 0.000 8.294
3.208 0.000 6.022
9.870 0.000 3.113
```

Properties
ΔE to the lowest computed polymorph = 8.1 kJ per mole of atoms
formation energy (no corrections) = -1.909 eV/atom



(3)
DFT (PBE) results for an optimized crystal structure of Sr4AgOs.

Cell and atoms, written as POSCAR:
```
Sr4AgOs
1.0
0.000 4.595 4.595
4.595 0.000 4.595
4.595 4.595 0.000
Sr Ag Os
4 1 1
Cartesian
3.457 3.457 3.457
5.732 5.732 3.457
5.732 3.457 5.732
3.457 5.732 5.732
0.000 0.000 0.000
6.892 6.892 6.892
```

Properties
formation enthalpy at 0 K = 1.2110 eV/atom



(4)
DFT (PBE) results for an optimized crystal structure of KZn2Rh.

Cell and atoms, written as POSCAR:
```
KZn2Rh
1.0
3.794 -2.190 0.000
3.794 2.190 0.000
-2.519 0.000 6.023
K Zn Rh
1 2 1
Cartesian
0.000 0.000 0.000
-0.005 0.000 3.262
2.524 0.000 2.929
5.053 0.000 2.733
```

Properties
formation enthalpy at 0 K = -0.1041 eV/atom
ΔE to the lowest computed polymorph = 0.0 kJ per mole of atoms



Number 1: total DFT energy (no corrections) -6.28 eV/atom. Number 2: total DFT energy (no corrections) -4.28 eV/atom. Number 3: total DFT energy (no corrections) -2.26 eV/atom. Number 4: total DFT energy (no corrections) -2.85 eV/atom.